# Ac2Ga5Ru

An optimized crystal structure of Ac2Ga5Ru (PBE, Alexandria via LeMat-Bulk).

Cell: 6.608 6.608 6.608 Å, 84.40 123.28 123.28°
Element x y z (fractional)
Ru (0.000, 0.024, 0.024)
Ga (0.000, 0.703, 0.269)
Ga (0.435, 0.703, 0.703)
Ga (0.000, 0.269, 0.703)
Ga (0.000, 0.281, 0.281)
Ga (0.565, 0.269, 0.269)
Ac (0.500, 0.237, 0.737)
Ac (0.500, 0.737, 0.237)

Formation enthalpy at 0 K: -0.40 eV/atom
Calculated total energy: -4.479 eV/atom

---

# Ac2Ga2Ru

An optimized crystal structure of Ac2Ga2Ru (PBE, Alexandria via LeMat-Bulk).

Cell: 4.699 6.047 10.118 Å, 82.14 76.57 67.14°
Element x y z (fractional)
Ru (0.656, 0.069, 0.619)
Ru (0.344, 0.931, 0.381)
Ac (0.328, 0.675, 0.670)
Ac (0.912, 0.287, 0.889)
Ac (0.088, 0.713, 0.111)
Ac (0.672, 0.325, 0.330)
Ga (0.383, 0.106, 0.128)
Ga (0.617, 0.894, 0.872)
Ga (0.907, 0.751, 0.435)
Ga (0.093, 0.249, 0.565)

Relative energy among the computed polymorphs: 0 meV per atom
Formation enthalpy at 0 K: -0.44 eV/atom
Calculated total energy: -5.148 eV/atom

---

# Ac2GaRu

An optimized crystal structure of Ac2GaRu (PBE, Alexandria via LeMat-Bulk).

Cell: 4.201 4.201 10.284 Å, 78.21 78.21 60.00°
Element x y z (fractional)
Ac (0.113, 0.113, 0.662)
Ac (0.887, 0.887, 0.338)
Ru (0.500, 0.500, 0.500)
Ga (0.000, 0.000, 0.000)

Formation enthalpy at 0 K: 0.15 eV/atom
Calculated total energy: -4.978 eV/atom

---

# Ac6Ga2Ru

An optimized crystal structure of Ac6Ga2Ru (PBE, Alexandria via LeMat-Bulk).

Cell: 7.483 8.127 10.983 Å, 90.00 92.30 90.00°
Element x y z (fractional)
Ga (0.541, 0.904, 0.740)
Ga (0.041, 0.596, 0.240)
Ga (0.959, 0.404, 0.760)
Ga (0.459, 0.096, 0.260)
Ac (0.686, 0.184, 0.558)
Ac (0.672, 0.186, 0.940)
Ac (0.186, 0.316, 0.058)
Ac (0.328, 0.814, 0.060)
Ac (0.871, 0.966, 0.248)
Ac (0.629, 0.466, 0.252)
Ac (0.129, 0.034, 0.752)
Ac (0.314, 0.816, 0.442)
Ac (0.814, 0.684, 0.942)
Ac (0.371, 0.534, 0.748)
Ac (0.828, 0.686, 0.560)
Ac (0.172, 0.314, 0.440)
Ru (0.500, 0.500, 0.000)
Ru (0.000, 0.000, 0.500)

Formation enthalpy at 0 K: -0.25 eV/atom
Calculated total energy: -4.695 eV/atom

---

# Ac4Ga2Ru

An optimized crystal structure of Ac4Ga2Ru (PBE, Alexandria via LeMat-Bulk).

Cell: 7.071 7.352 9.748 Å, 90.00 116.26 90.00°
Element x y z (fractional)
Ga (0.297, 0.250, 0.475)
Ga (0.703, 0.750, 0.525)
Ga (0.351, 0.250, 0.927)
Ga (0.649, 0.750, 0.073)
Ac (0.924, 0.250, 0.592)
Ac (0.868, 0.250, 0.150)
Ac (0.076, 0.750, 0.408)
Ac (0.132, 0.750, 0.850)
Ac (0.395, 0.496, 0.227)
Ac (0.605, 0.504, 0.773)
Ac (0.395, 0.004, 0.227)
Ac (0.605, 0.996, 0.773)
Ru (0.025, 0.750, 0.105)
Ru (0.975, 0.250, 0.895)

Relative energy among the computed polymorphs: 0 meV per atom
Formation enthalpy at 0 K: -0.29 eV/atom
Calculated total energy: -4.824 eV/atom

---

# Ac2Ga5Ru3

An optimized crystal structure of Ac2Ga5Ru3 (PBE, Alexandria via LeMat-Bulk).

Cell: 6.358 8.659 8.659 Å, 74.85 68.46 68.46°
Element x y z (fractional)
Ac (0.628, 0.108, 0.635)
Ac (0.872, 0.365, 0.892)
Ac (0.372, 0.892, 0.365)
Ac (0.128, 0.635, 0.108)
Ga (0.119, 0.007, 0.755)
Ga (0.881, 0.993, 0.245)
Ga (0.513, 0.737, 0.737)
Ga (0.013, 0.737, 0.737)
Ga (0.750, 0.500, 0.500)
Ga (0.381, 0.245, 0.993)
Ga (0.987, 0.263, 0.263)
Ga (0.487, 0.263, 0.263)
Ga (0.250, 0.500, 0.500)
Ga (0.619, 0.755, 0.007)
Ru (0.118, 0.251, 0.513)
Ru (0.750, 0.000, 0.000)
Ru (0.618, 0.513, 0.251)
Ru (0.250, 0.000, 0.000)
Ru (0.382, 0.487, 0.749)
Ru (0.882, 0.749, 0.487)

Formation enthalpy at 0 K: -0.43 eV/atom
Calculated total energy: -5.548 eV/atom

---

# Ac2Ga4Ru

An optimized crystal structure of Ac2Ga4Ru (PBE, Alexandria via LeMat-Bulk).

Cell: 4.757 4.757 8.750 Å, 105.77 105.77 90.00°
Element x y z (fractional)
Ga (0.500, 0.000, 0.000)
Ga (0.845, 0.845, 0.690)
Ga (0.000, 0.500, 0.000)
Ga (0.155, 0.155, 0.310)
Ac (0.648, 0.648, 0.296)
Ac (0.352, 0.352, 0.704)
Ru (0.000, 0.000, 0.000)

Formation enthalpy at 0 K: -0.43 eV/atom
Calculated total energy: -4.654 eV/atom

---

# Ac6GaRu

An optimized crystal structure of Ac6GaRu (PBE, Alexandria via LeMat-Bulk).

Cell: 7.397 7.405 8.190 Å, 63.20 63.23 60.04°
Element x y z (fractional)
Ga (0.500, 0.500, 0.500)
Ac (0.940, 0.587, 0.249)
Ac (0.776, 0.059, 0.751)
Ac (0.412, 0.776, 0.751)
Ac (0.060, 0.413, 0.751)
Ac (0.588, 0.224, 0.249)
Ac (0.224, 0.941, 0.249)
Ru (0.000, 0.000, 0.000)

Formation enthalpy at 0 K: -0.08 eV/atom
Calculated total energy: -4.696 eV/atom

---

# Ac2Ga6Ru

An optimized crystal structure of Ac2Ga6Ru (PBE, Alexandria via LeMat-Bulk).

Cell: 6.501 6.501 6.501 Å, 60.00 60.00 60.00°
Element x y z (fractional)
Ga (0.716, 0.284, 0.716)
Ga (0.284, 0.284, 0.716)
Ga (0.284, 0.716, 0.716)
Ga (0.716, 0.716, 0.284)
Ga (0.716, 0.284, 0.284)
Ga (0.284, 0.716, 0.284)
Ru (0.000, 0.000, 0.000)
Ac (0.250, 0.250, 0.250)
Ac (0.750, 0.750, 0.750)

Relative energy among the computed polymorphs: 0 meV per atom
Formation enthalpy at 0 K: -0.51 eV/atom
Calculated total energy: -4.468 eV/atom

---

# Ac12Ga3Ru5

An optimized crystal structure of Ac12Ga3Ru5 (PBE, Alexandria via LeMat-Bulk).

Cell: 15.541 15.541 15.541 Å, 109.47 109.47 109.47°
Element x y z (fractional)
Ac (0.291, 0.415, 0.821)
Ac (0.585, 0.709, 0.679)
Ac (0.085, 0.906, 0.376)
Ac (0.915, 0.094, 0.624)
Ac (0.821, 0.915, 0.291)
Ac (0.585, 0.876, 0.406)
Ac (0.179, 0.085, 0.709)
Ac (0.791, 0.470, 0.376)
Ac (0.530, 0.209, 0.124)
Ac (0.124, 0.415, 0.094)
Ac (0.624, 0.594, 0.915)
Ac (0.906, 0.085, 0.876)
Ac (0.821, 0.906, 0.030)
Ac (0.209, 0.679, 0.085)
Ac (0.124, 0.709, 0.530)
Ac (0.376, 0.406, 0.085)
Ac (0.709, 0.585, 0.179)
Ac (0.970, 0.376, 0.291)
Ac (0.030, 0.406, 0.821)
Ac (0.709, 0.124, 0.030)
Ac (0.876, 0.291, 0.470)
Ac (0.915, 0.821, 0.791)
Ac (0.470, 0.679, 0.094)
Ac (0.624, 0.030, 0.209)
Ac (0.179, 0.094, 0.970)
Ac (0.406, 0.376, 0.585)
Ac (0.470, 0.791, 0.876)
Ac (0.679, 0.470, 0.594)
Ac (0.791, 0.321, 0.915)
Ac (0.906, 0.821, 0.530)
Ac (0.679, 0.209, 0.585)
Ac (0.094, 0.915, 0.124)
Ac (0.094, 0.179, 0.470)
Ac (0.291, 0.876, 0.970)
Ac (0.030, 0.624, 0.709)
Ac (0.594, 0.624, 0.415)
Ac (0.209, 0.530, 0.624)
Ac (0.406, 0.030, 0.321)
Ac (0.415, 0.124, 0.594)
Ac (0.415, 0.291, 0.321)
Ac (0.970, 0.594, 0.179)
Ac (0.321, 0.530, 0.406)
Ac (0.876, 0.585, 0.906)
Ac (0.085, 0.179, 0.209)
Ac (0.594, 0.970, 0.679)
Ac (0.321, 0.791, 0.415)
Ac (0.530, 0.321, 0.906)
Ac (0.376, 0.970, 0.791)
Ru (0.250, 0.875, 0.125)
Ru (0.750, 0.125, 0.875)
Ru (0.500, 0.000, 0.000)
Ru (0.000, 0.000, 0.000)
Ru (0.500, 0.000, 0.500)
Ru (0.250, 0.375, 0.625)
Ru (0.000, 0.000, 0.500)
Ru (0.500, 0.500, 0.500)
Ru (0.375, 0.250, 0.125)
Ru (0.875, 0.250, 0.625)
Ru (0.125, 0.375, 0.250)
Ru (0.750, 0.625, 0.375)
Ru (0.625, 0.750, 0.875)
Ru (0.125, 0.750, 0.375)
Ru (0.625, 0.875, 0.250)
Ru (0.000, 0.500, 0.500)
Ru (0.000, 0.500, 0.000)
Ru (0.375, 0.125, 0.750)
Ru (0.875, 0.625, 0.750)
Ru (0.500, 0.500, 0.000)
Ga (0.375, 0.750, 0.625)
Ga (0.875, 0.125, 0.250)
Ga (0.875, 0.750, 0.125)
Ga (0.375, 0.625, 0.250)
Ga (0.125, 0.875, 0.750)
Ga (0.250, 0.625, 0.875)
Ga (0.750, 0.375, 0.125)
Ga (0.750, 0.875, 0.625)
Ga (0.250, 0.125, 0.375)
Ga (0.625, 0.375, 0.750)
Ga (0.125, 0.250, 0.875)
Ga (0.625, 0.250, 0.375)

Formation enthalpy at 0 K: -0.07 eV/atom
Calculated total energy: -5.305 eV/atom

---

# AcGa2Ru

An optimized crystal structure of AcGa2Ru (PBE, Alexandria via LeMat-Bulk).

Cell: 3.338 3.338 7.294 Å, 90.00 90.00 90.00°
Element x y z (fractional)
Ga (0.000, 0.000, 0.180)
Ga (0.000, 0.000, 0.820)
Ac (0.500, 0.500, 0.500)
Ru (0.500, 0.500, 0.000)

Relative energy among the computed polymorphs: 224 meV per atom
Formation enthalpy at 0 K: -0.26 eV/atom
Calculated total energy: -5.115 eV/atom

---

# AcGa3Ru

An optimized crystal structure of AcGa3Ru (PBE, Alexandria via LeMat-Bulk).

Cell: 6.626 6.626 11.376 Å, 90.00 90.00 120.00°
Element x y z (fractional)
Ga (0.713, 0.856, 0.750)
Ga (0.500, 0.500, 0.500)
Ga (0.000, 0.500, 0.500)
Ga (0.500, 0.000, 0.000)
Ga (0.144, 0.856, 0.750)
Ga (0.856, 0.144, 0.250)
Ga (0.287, 0.144, 0.250)
Ga (0.500, 0.000, 0.500)
Ga (0.144, 0.287, 0.750)
Ga (0.000, 0.500, 0.000)
Ga (0.500, 0.500, 0.000)
Ga (0.856, 0.713, 0.250)
Ru (0.667, 0.333, 0.124)
Ru (0.667, 0.333, 0.376)
Ru (0.333, 0.667, 0.624)
Ru (0.333, 0.667, 0.876)
Ac (0.667, 0.333, 0.750)
Ac (0.333, 0.667, 0.250)
Ac (0.000, 0.000, 0.500)
Ac (0.000, 0.000, 0.000)

Relative energy among the computed polymorphs: 0 meV per atom
Formation enthalpy at 0 K: -0.51 eV/atom
Calculated total energy: -4.999 eV/atom

---

# AcGa2Ru

An optimized crystal structure of AcGa2Ru (PBE, Alexandria via LeMat-Bulk).

Cell: 4.267 4.327 9.894 Å, 102.63 90.00 90.00°
Element x y z (fractional)
Ga (0.500, 0.000, 0.000)
Ga (0.500, 0.711, 0.422)
Ga (0.500, 0.289, 0.578)
Ga (0.000, 0.500, 0.000)
Ac (0.000, 0.858, 0.717)
Ac (0.000, 0.142, 0.283)
Ru (0.500, 0.424, 0.849)
Ru (0.500, 0.576, 0.151)

Relative energy among the computed polymorphs: 0 meV per atom
Formation enthalpy at 0 K: -0.48 eV/atom
Calculated total energy: -5.338 eV/atom

---

# Ac3Ga2Ru

An optimized crystal structure of Ac3Ga2Ru (PBE, Alexandria via LeMat-Bulk).

Cell: 4.176 13.251 13.077 Å, 90.00 90.00 90.00°
Element x y z (fractional)
Ga (0.250, 0.490, 0.811)
Ga (0.250, 0.817, 0.974)
Ga (0.750, 0.510, 0.189)
Ga (0.750, 0.183, 0.026)
Ga (0.250, 0.683, 0.474)
Ga (0.250, 0.010, 0.311)
Ga (0.750, 0.317, 0.526)
Ga (0.750, 0.990, 0.689)
Ac (0.750, 0.953, 0.118)
Ac (0.250, 0.711, 0.226)
Ac (0.750, 0.289, 0.774)
Ac (0.750, 0.211, 0.274)
Ac (0.750, 0.547, 0.618)
Ac (0.750, 0.630, 0.954)
Ac (0.250, 0.453, 0.382)
Ac (0.250, 0.047, 0.882)
Ac (0.250, 0.130, 0.546)
Ac (0.250, 0.370, 0.046)
Ac (0.250, 0.789, 0.726)
Ac (0.750, 0.870, 0.454)
Ru (0.250, 0.380, 0.641)
Ru (0.750, 0.880, 0.859)
Ru (0.750, 0.620, 0.359)
Ru (0.250, 0.120, 0.141)

Relative energy among the computed polymorphs: 0 meV per atom
Formation enthalpy at 0 K: -0.40 eV/atom
Calculated total energy: -5.014 eV/atom

---

# Ac3Ga2Ru

An optimized crystal structure of Ac3Ga2Ru (PBE, Alexandria via LeMat-Bulk).

Cell: 4.189 8.073 16.619 Å, 44.08 82.76 74.96°
Element x y z (fractional)
Ga (0.423, 0.623, 0.532)
Ga (0.011, 0.867, 0.110)
Ga (0.577, 0.377, 0.468)
Ga (0.989, 0.133, 0.890)
Ac (0.644, 0.681, 0.031)
Ac (0.186, 0.281, 0.346)
Ac (0.814, 0.719, 0.654)
Ac (0.082, 0.143, 0.693)
Ac (0.356, 0.319, 0.969)
Ac (0.918, 0.857, 0.307)
Ru (0.455, 0.332, 0.759)
Ru (0.545, 0.668, 0.241)

Relative energy among the computed polymorphs: 14 meV per atom
Formation enthalpy at 0 K: -0.39 eV/atom
Calculated total energy: -4.999 eV/atom

---

# Ac3GaRu3

An optimized crystal structure of Ac3GaRu3 (PBE, Alexandria via LeMat-Bulk).

Cell: 5.784 8.702 8.702 Å, 120.00 90.00 90.00°
Element x y z (fractional)
Ru (0.750, 0.615, 0.950)
Ru (0.250, 0.950, 0.336)
Ru (0.750, 0.336, 0.385)
Ru (0.250, 0.664, 0.615)
Ru (0.250, 0.385, 0.050)
Ru (0.750, 0.050, 0.664)
Ac (0.750, 0.725, 0.658)
Ac (0.250, 0.275, 0.342)
Ac (0.750, 0.933, 0.275)
Ac (0.250, 0.067, 0.725)
Ac (0.250, 0.658, 0.933)
Ac (0.750, 0.342, 0.067)
Ga (0.250, 0.667, 0.333)
Ga (0.750, 0.333, 0.667)

Relative energy among the computed polymorphs: 292 meV per atom
Formation enthalpy at 0 K: 0.07 eV/atom
Calculated total energy: -6.103 eV/atom

---

# Ac3Ga3Ru

An optimized crystal structure of Ac3Ga3Ru (PBE, Alexandria via LeMat-Bulk).

Cell: 4.390 6.344 14.975 Å, 82.29 81.57 69.76°
Element x y z (fractional)
Ru (0.227, 0.924, 0.621)
Ru (0.773, 0.076, 0.379)
Ac (0.617, 0.685, 0.080)
Ac (0.383, 0.315, 0.920)
Ac (0.738, 0.763, 0.760)
Ac (0.519, 0.348, 0.613)
Ac (0.262, 0.237, 0.240)
Ac (0.481, 0.652, 0.387)
Ga (0.967, 0.834, 0.233)
Ga (0.095, 0.884, 0.926)
Ga (0.905, 0.116, 0.074)
Ga (0.183, 0.171, 0.464)
Ga (0.817, 0.829, 0.536)
Ga (0.033, 0.166, 0.767)

Formation enthalpy at 0 K: -0.45 eV/atom
Calculated total energy: -4.833 eV/atom